1.
This record from Alexandria via LeMat-Bulk describes Sm2HoEr3Sb6 after structural relaxation. The functional is GGA-PBE.

Cell: 4.395 8.789 9.824 Å, 102.86 102.92 90.00°
Atoms (fractional coordinates):
Sb: 0.666 0.078 0.333
Sb: 0.665 0.588 0.330
Sb: 0.334 0.922 0.667
Sb: 0.002 0.751 0.005
Sb: 0.998 0.249 0.995
Sb: 0.335 0.412 0.670
Er: 0.168 0.834 0.335
Er: 0.832 0.166 0.665
Er: 0.500 0.500 0.000
Sm: 0.166 0.333 0.332
Sm: 0.834 0.667 0.668
Ho: 0.500 0.000 0.000

---

2.
This record from Alexandria via LeMat-Bulk describes SmHo2Er3Sb6 after structural relaxation. The functional is GGA-PBE.

Cell: 4.378 8.754 9.786 Å, 102.86 102.92 90.00°
Atoms (fractional coordinates):
Sb: 0.000 0.744 0.999
Sb: 0.666 0.583 0.333
Sb: 0.669 0.083 0.338
Sb: 0.334 0.417 0.667
Sb: 0.000 0.256 0.001
Sb: 0.331 0.917 0.662
Er: 0.834 0.168 0.668
Er: 0.166 0.832 0.332
Er: 0.500 0.500 0.000
Ho: 0.167 0.333 0.334
Ho: 0.833 0.667 0.666
Sm: 0.500 0.000 0.000

---

Number 1: E_tot -5.492 eV per atom, N(E_F) 1.9 states/eV/cell, E_form (uncorrected) -108.3 kJ per mole of atoms. Number 2: E_tot -5.471 eV per atom, N(E_F) 1.9 states/eV/cell, E_form (uncorrected) -107.4 kJ per mole of atoms.